Record 1
# Na3Sr2Ag2 | the Alexandria database | GGA-PBE | relaxed
# **Calculated formation energy**: -160 meV per atom
# **Total moment**: 0.000 μB per atom
# **Crystal system**: orthorhombic
data_Na3Sr2Ag2
_chemical_formula_sum 'Na6 Sr4 Ag4'
_cell_length_a 4.718
_cell_length_b 24.069
_cell_length_c 4.308
_cell_angle_alpha 90.00
_cell_angle_beta 90.00
_cell_angle_gamma 90.00
_space_group_name_H-M_alt 'C m m m'
_space_group_IT_number 65
_space_group_name_Hall '-C 2 2'
loop_
_atom_site_label
_atom_site_fract_x
_atom_site_fract_y
_atom_site_fract_z
Na1 0.000 0.000 0.000
Na2 0.000 0.421 0.500
Sr1 0.000 0.177 0.000
Ag1 0.000 0.285 0.500

***

Record 2
# NaSrAg | the Alexandria database | GGA-PBE | relaxed
# **E above lowest polymorph**: 15 kJ/mol of formula units
# **Calculated formation energy**: -134 meV per atom
# **Total moment**: 0.000 μB per atom
# **Crystal system**: orthorhombic
data_NaSrAg
_chemical_formula_sum 'Na8 Sr8 Ag8'
_cell_length_a 6.488
_cell_length_b 13.710
_cell_length_c 8.924
_cell_angle_alpha 90.00
_cell_angle_beta 90.00
_cell_angle_gamma 90.00
_space_group_name_H-M_alt 'C m c e'
_space_group_IT_number 64
_space_group_name_Hall '-C 2ac 2'
loop_
_atom_site_label
_atom_site_fract_x
_atom_site_fract_y
_atom_site_fract_z
Na1 0.250 0.058 0.250
Sr1 0.000 0.184 0.603
Ag1 0.000 0.099 0.949

***

Record 3
# NaSr2Ag3 | the Alexandria database | GGA-PBE | relaxed
# **Calculated formation energy**: -173 meV per atom
# **Total moment**: 0.000 μB per atom
# **Crystal system**: orthorhombic
data_NaSr2Ag3
_chemical_formula_sum 'Na8 Sr16 Ag24'
_cell_length_a 8.084
_cell_length_b 9.999
_cell_length_c 17.231
_cell_angle_alpha 90.00
_cell_angle_beta 90.00
_cell_angle_gamma 90.00
_space_group_name_H-M_alt 'F m m m'
_space_group_IT_number 69
_space_group_name_Hall '-F 2 2'
loop_
_atom_site_label
_atom_site_fract_x
_atom_site_fract_y
_atom_site_fract_z
Na1 0.000 0.000 0.166
Sr1 0.243 0.000 0.500
Sr2 0.250 0.250 0.250
Ag1 0.000 0.000 0.335
Ag2 0.000 0.245 0.418

***

Record 4
# NaSr2Ag9 | the Alexandria database | GGA-PBE | relaxed
# **Calculated formation energy**: -128 meV per atom
# **Total moment**: 0.000 μB per atom
# **Crystal system**: trigonal
data_NaSr2Ag9
_chemical_formula_sum 'Na3 Sr6 Ag27'
_cell_length_a 5.7838
_cell_length_b 5.7838
_cell_length_c 28.4938
_cell_angle_alpha 90.00
_cell_angle_beta 90.00
_cell_angle_gamma 120.00
_space_group_name_H-M_alt 'R -3 m'
_space_group_IT_number 166
_space_group_name_Hall '-R 3 2"'
loop_
_atom_site_label
_atom_site_fract_x
_atom_site_fract_y
_atom_site_fract_z
Na1 0.0000 0.0000 0.0000
Sr1 0.0000 0.0000 0.1378
Ag1 0.0000 0.0000 0.3331
Ag2 0.0000 0.0000 0.5000
Ag3 0.0019 0.5010 0.9178

***

Record 5
# Na2SrAg2 | the Alexandria database | GGA-PBE | relaxed
# **E above lowest polymorph**: 3 kJ/mol of formula units
# **Calculated formation energy**: -122 meV per atom
# **Total moment**: 0.000 μB per atom
# **Crystal system**: tetragonal
data_Na2SrAg2
_chemical_formula_sum 'Na4 Sr2 Ag4'
_cell_length_a 4.518
_cell_length_b 4.518
_cell_length_c 14.201
_cell_angle_alpha 90.00
_cell_angle_beta 90.00
_cell_angle_gamma 90.00
_space_group_name_H-M_alt 'I 4/m m m'
_space_group_IT_number 139
_space_group_name_Hall '-I 4 2'
loop_
_atom_site_label
_atom_site_fract_x
_atom_site_fract_y
_atom_site_fract_z
Na1 0.000 0.500 0.250
Sr1 0.000 0.000 0.000
Ag1 0.000 0.000 0.403

***

Record 6
# Na3SrAg8 | the Alexandria database | GGA-PBE | relaxed
# **Calculated formation energy**: -132 meV per atom
# **Total moment**: 0.000 μB per atom
# **Crystal system**: trigonal
data_Na3SrAg8
_chemical_formula_sum 'Na9 Sr3 Ag24'
_cell_length_a 5.6926
_cell_length_b 5.6926
_cell_length_c 28.6050
_cell_angle_alpha 90.00
_cell_angle_beta 90.00
_cell_angle_gamma 120.00
_space_group_name_H-M_alt 'R 3 m'
_space_group_IT_number 160
_space_group_name_Hall 'R 3 -2"'
loop_
_atom_site_label
_atom_site_fract_x
_atom_site_fract_y
_atom_site_fract_z
Na1 0.0000 0.0000 0.0000
Na2 0.0000 0.0000 0.1192
Na3 0.0000 0.0000 0.6311
Sr1 0.0000 0.0000 0.5024
Ag1 0.0000 0.0000 0.3144
Ag2 0.0000 0.0000 0.8138
Ag3 0.9997 0.4998 0.0635
Ag4 0.9997 0.4999 0.5654